(1)
First-principles (PBE) data for a relaxed Cr2SiNi crystal, as listed in Alexandria.

```
Cr2SiNi
1.0
4.0340 0.0000 0.0000
2.0170 3.4935 0.0000
2.0170 1.1645 3.2937
Ni Cr Si
1 2 1
Direct
0.5000 0.5000 0.5000
0.7500 0.7500 0.7500
0.0000 0.0000 0.0000
0.2500 0.2500 0.2500
```

Values from the calculation:
- D(E_F): 1.27 states/eV/cell
- Calculated total energy: -7.808 eV per atom
- V: 46 Å³ per cell

---

(2)
First-principles (PBE) data for a relaxed CrSi2Ni crystal, as listed in Alexandria.

```
CrSi2Ni
1.0
4.4543 0.0000 0.0000
0.0000 2.5611 0.0018
0.0000 -0.0031 4.1512
Cr Si Ni
1 2 1
Direct
0.0000 0.3751 0.5107
0.5000 0.3748 0.2428
0.0000 0.8752 0.0083
0.5000 0.8749 0.7382
```

Values from the calculation:
- D(E_F): 2.59 states/eV/cell
- Calculated total energy: -6.805 eV per atom
- V: 47 Å³ per cell

---

(3)
First-principles (PBE) data for a relaxed CrSiNi6 crystal, as listed in Alexandria.

```
CrSiNi6
1.0
-0.0141 4.7162 3.8863
-3.2309 -4.6124 2.3735
8.2527 -3.5491 4.3369
Ni Si Cr
24 4 4
Direct
0.7496 0.2504 0.0020
0.2504 0.7496 0.0020
0.1223 0.3726 0.1263
0.5000 0.5000 0.2500
0.3726 0.1223 0.1263
0.7496 0.2504 0.4980
0.6281 0.8776 0.6236
0.5000 0.5000 0.7500
0.0000 0.0000 0.2500
0.3719 0.1224 0.8764
0.8777 0.6274 0.1263
0.2504 0.7496 0.4980
0.8777 0.6274 0.3737
0.0000 0.0000 0.7500
0.8776 0.6281 0.8764
0.3726 0.1223 0.3737
0.6281 0.8776 0.8764
0.8776 0.6281 0.6236
0.1223 0.3726 0.3737
0.3719 0.1224 0.6236
0.1224 0.3719 0.8764
0.6274 0.8777 0.3737
0.1224 0.3719 0.6236
0.6274 0.8777 0.1263
0.0000 0.0000 0.5007
0.2555 0.7445 0.2500
0.0000 0.0000 0.9993
0.7445 0.2555 0.2500
0.5000 0.5000 0.9988
0.7463 0.2537 0.7500
0.5000 0.5000 0.5012
0.2537 0.7463 0.7500
```

Values from the calculation:
- D(E_F): 38.26 states/eV/cell
- Calculated total energy: -6.437 eV per atom
- Relative energy among the computed polymorphs: 0 meV per atom
- V: 351 Å³ per cell

---

(4)
First-principles (PBE) data for a relaxed Cr2SiNi crystal, as listed in Alexandria.

```
Cr2SiNi
1.0
4.3667 -0.0024 0.0000
1.2695 4.1781 0.0000
-2.8181 -2.0878 2.6014
Cr Ni Si
2 1 1
Direct
0.2500 0.7500 0.5000
0.0000 0.0000 0.0000
0.5000 0.5000 0.0000
0.7500 0.2500 0.5000
```

Values from the calculation:
- D(E_F): 3.73 states/eV/cell
- Calculated total energy: -7.801 eV per atom
- V: 47 Å³ per cell

---

(5)
First-principles (PBE) data for a relaxed Cr2Si2Ni crystal, as listed in Alexandria.

```
Cr2Si2Ni
1.0
5.9096 0.0000 0.0000
0.0000 5.9096 0.0000
0.0000 0.0000 3.4794
Cr Si Ni
4 4 2
Direct
0.3352 0.1648 0.5000
0.8352 0.3352 0.5000
0.6648 0.8352 0.5000
0.1648 0.6648 0.5000
0.3608 0.8608 0.0000
0.8608 0.6392 0.0000
0.1392 0.3608 0.0000
0.6392 0.1392 0.0000
0.5000 0.5000 0.0000
0.0000 0.0000 0.0000
```

Values from the calculation:
- D(E_F): 5.36 states/eV/cell
- Calculated total energy: -7.388 eV per atom
- V: 122 Å³ per cell

---

(6)
First-principles (PBE) data for a relaxed CrSiNi crystal, as listed in Alexandria.

```
CrSiNi
1.0
2.9617 0.0000 0.0000
0.0000 5.4323 0.0000
0.0000 0.0000 8.4601
Si Ni Cr
4 4 4
Direct
0.7500 0.8640 0.7527
0.7500 0.3640 0.7473
0.2500 0.1360 0.2473
0.2500 0.6360 0.2527
0.7500 0.3880 0.1002
0.2500 0.1120 0.6002
0.2500 0.6120 0.8998
0.7500 0.8880 0.3998
0.7500 0.3836 0.4205
0.7500 0.8836 0.0795
0.2500 0.6164 0.5795
0.2500 0.1164 0.9205
```

Values from the calculation:
- D(E_F): 9.02 states/eV/cell
- Calculated total energy: -7.202 eV per atom
- V: 136 Å³ per cell

---

(7)
First-principles (PBE) data for a relaxed CrSiNi crystal, as listed in Alexandria.

```
CrSiNi
1.0
-1.0826 -1.0443 3.5444
-1.7926 -3.3624 0.5531
1.8183 -2.8781 1.7988
Si Ni Cr
1 1 1
Direct
0.0000 0.0000 0.0000
0.7500 0.7500 0.7500
0.5000 0.5000 0.5000
```

Values from the calculation:
- D(E_F): 2.73 states/eV/cell
- Calculated total energy: -7.060 eV per atom
- V: 40 Å³ per cell

---

(8)
First-principles (PBE) data for a relaxed CrSiNi crystal, as listed in Alexandria.

```
CrSiNi
1.0
2.5753 -0.0010 -0.0010
1.1213 3.9856 -0.0007
0.4659 0.2295 6.7887
Si Ni Cr
2 2 2
Direct
0.0092 0.0374 0.5820
0.3546 0.5168 0.1264
0.7030 0.5976 0.4426
0.0347 0.0602 0.2376
0.1958 0.4815 0.7728
0.6392 0.9798 0.9190
```

Values from the calculation:
- D(E_F): 3.21 states/eV/cell
- Calculated total energy: -7.210 eV per atom
- V: 70 Å³ per cell

---

(9)
First-principles (PBE) data for a relaxed Cr2SiNi crystal, as listed in Alexandria.

```
Cr2SiNi
1.0
-2.8306 -3.6557 -6.9005
-0.8200 -5.1762 -6.4441
-3.0589 -5.6307 -5.2850
Cr Ni Si
2 1 1
Direct
0.2482 0.2482 0.2482
0.0028 0.0028 0.0028
0.4965 0.4965 0.4965
0.7525 0.7525 0.7525
```

Values from the calculation:
- D(E_F): 3.97 states/eV/cell
- Calculated total energy: -7.565 eV per atom
- V: 46 Å³ per cell

---

(10)
First-principles (PBE) data for a relaxed CrSiNi14 crystal, as listed in Alexandria.

```
CrSiNi14
1.0
-2.3874 -0.0643 4.3825
-3.0762 -3.5301 -1.7278
4.3700 -4.9378 2.3081
Ni Cr Si
14 1 1
Direct
0.3750 0.8750 0.0000
0.6259 0.1241 0.2525
0.3750 0.3750 0.0000
0.6258 0.6258 0.7475
0.8750 0.8750 0.0000
0.1241 0.6259 0.2525
0.6258 0.6258 0.2525
0.8750 0.3750 0.0000
0.6259 0.1241 0.7475
0.3750 0.8750 0.5000
0.1241 0.6259 0.7475
0.1242 0.1242 0.2525
0.1242 0.1242 0.7475
0.8750 0.3750 0.5000
0.3750 0.3750 0.5000
0.8750 0.8750 0.5000
```

Values from the calculation:
- D(E_F): 25.39 states/eV/cell
- Calculated total energy: -6.097 eV per atom
- V: 174 Å³ per cell

---

(11)
First-principles (PBE) data for a relaxed Cr2SiNi crystal, as listed in Alexandria.

```
Cr2SiNi
1.0
-0.2586 2.4025 3.9510
2.1996 -1.7381 3.6865
0.8019 1.1951 -4.4020
Cr Ni Si
2 1 1
Direct
0.4974 0.4974 0.0000
0.0026 0.0026 0.0000
0.7500 0.2500 0.5000
0.2500 0.7500 0.5000
```

Values from the calculation:
- D(E_F): 3.11 states/eV/cell
- Calculated total energy: -7.838 eV per atom
- V: 45 Å³ per cell

---

(12)
First-principles (PBE) data for a relaxed Cr2SiNi crystal, as listed in Alexandria.

```
Cr2SiNi
1.0
3.8694 0.0000 0.0000
0.0000 2.5233 0.0204
0.0000 2.0567 4.7150
Si Cr Ni
1 2 1
Direct
0.5000 0.7500 0.7500
0.0000 0.9770 0.9908
0.0000 0.5230 0.5092
0.5000 0.2500 0.2500
```

Values from the calculation:
- D(E_F): 2.99 states/eV/cell
- Calculated total energy: -7.753 eV per atom
- V: 46 Å³ per cell

---

Number 1: formation energy from raw total energies -0.195 eV/atom. Number 2: formation energy from raw total energies -0.243 eV/atom. Number 3: formation energy from raw total energies -0.221 eV/atom. Number 4: formation energy from raw total energies -0.189 eV/atom. Number 5: formation energy from raw total energies -0.213 eV/atom. Number 6: formation energy from raw total energies -0.259 eV/atom. Number 7: formation energy from raw total energies -0.117 eV/atom. Number 8: formation energy from raw total energies -0.268 eV/atom. Number 9: formation energy from raw total energies 0.048 eV/atom. Number 10: formation energy from raw total energies -0.098 eV/atom. Number 11: formation energy from raw total energies -0.225 eV/atom. Number 12: formation energy from raw total energies -0.140 eV/atom.